VASP calculation (GGA-PBE) on an optimized crystal structure of Sc3Ga3Sn.

formation energy: -3.58 eV per formula unit
crystal system: hexagonal
size of the total moment: 0.31 μB per formula unit

a b c (Å): 4.731 8.254 8.254
angles (deg): 120.00 90.00 90.00
Each line ends with the local moment (μB).
Fractional coordinates of all 14 atoms:
1 Ga 0.750 0.040 0.824  0.00
2 Ga 0.250 0.216 0.040  0.00
3 Sc 0.250 0.561 0.906  0.06
4 Sc 0.750 0.655 0.561  0.06
5 Sc 0.750 0.439 0.094  0.06
6 Sc 0.250 0.094 0.655  0.06
7 Sc 0.750 0.906 0.345  0.06
8 Ga 0.250 0.960 0.176  0.00
9 Ga 0.250 0.824 0.784  0.00
10 Sc 0.250 0.345 0.439  0.06
11 Sn 0.250 0.667 0.333  0.00
12 Ga 0.750 0.784 0.960  0.00
13 Sn 0.750 0.333 0.667  0.00
14 Ga 0.750 0.176 0.216  0.00